Below is a geometry-optimized FeRhCl2 structure, with properties calculated at the PBE level.

CIF file:
```
data_FeRhCl2
_chemical_formula_sum 'Fe1 Rh1 Cl2'
_cell_length_a 3.716
_cell_length_b 3.280
_cell_length_c 6.905
_cell_angle_alpha 90.00
_cell_angle_beta 92.13
_cell_angle_gamma 90.00
_space_group_name_H-M_alt 'P 1 m 1'
_space_group_IT_number 6
_space_group_name_Hall 'P -2y'
loop_
_atom_site_label
_atom_site_type_symbol
_atom_site_fract_x
_atom_site_fract_y
_atom_site_fract_z
_atom_site_occupancy
Fe1 Fe 0.000 0.000 0.000 1
Rh1 Rh 0.488 0.500 0.881 1
Cl1 Cl 0.263 0.500 0.214 1
Cl2 Cl 0.830 0.000 0.663 1
```

Calculated values
Energy (eV for the cell shown): -19.954
Calculated volume (Å³ per atom): 21.03

Below is a geometry-optimized FeRhCl2 structure, with properties calculated at the PBE level.

CIF file:
```
data_FeRhCl2
_chemical_formula_sum 'Fe3 Rh3 Cl6'
_cell_length_a 3.1228
_cell_length_b 3.1228
_cell_length_c 22.8120
_cell_angle_alpha 90.00
_cell_angle_beta 90.00
_cell_angle_gamma 120.00
_space_group_name_H-M_alt 'R -3 m'
_space_group_IT_number 166
_space_group_name_Hall '-R 3 2"'
loop_
_atom_site_label
_atom_site_type_symbol
_atom_site_fract_x
_atom_site_fract_y
_atom_site_fract_z
_atom_site_occupancy
Fe1 Fe 0.0000 0.0000 0.0000 1
Rh1 Rh 0.0000 0.0000 0.5000 1
Cl1 Cl 0.0000 0.0000 0.2610 1
```

Calculated values
Energy (eV for the cell shown): -55.703
Calculated volume (Å³ per atom): 16.06

| no. | density (g cm⁻³) |
| --- | --- |
| 1 | 4.5 |
| 2 | 5.9 |